! ReBr (GGA-PBE, relaxed); values from VASP
&SYSTEM
  ibrav = 0, nat = 8, ntyp = 2
/
ATOMIC_SPECIES
Re 186.21 Re.upf
Br 79.90 Br.upf
CELL_PARAMETERS angstrom
10.181 0.000 0.000
0.000 3.245 0.000
-2.700 0.000 6.318
ATOMIC_POSITIONS angstrom
Re 1.723 0.000 0.001
Re 0.667 1.622 6.317
Re 6.814 1.622 0.001
Re 5.758 0.000 6.317
Br -0.001 1.622 1.724
Br 2.392 0.000 4.594
Br 5.089 0.000 1.724
Br 7.483 1.622 4.594
! Distance to the lowest polymorph of the same formula ... 587 meV/atom
! Crystal system ... monoclinic